# 1
First-principles (PBE) data for a relaxed Zr3TlBi5 crystal, as listed in OQMD via LeMat-Bulk.

```
data_Zr3TlBi5
_space_group_name_H-M_alt 'P 1'
_space_group_IT_number 1
_cell_length_a 6.037
_cell_length_b 6.037
_cell_length_c 8.938
_cell_angle_alpha 90.00
_cell_angle_beta 90.00
_cell_angle_gamma 120.00
loop_
_space_group_symop_operation_xyz
'x,y,z'
loop_
_atom_site_label
_atom_site_type_symbol
_atom_site_fract_x
_atom_site_fract_y
_atom_site_fract_z
Zr1 Zr 0.000 0.500 0.000
Zr2 Zr 0.500 0.000 0.000
Zr3 Zr 0.500 0.500 0.000
Tl1 Tl 0.000 0.000 0.500
Bi1 Bi 0.000 0.000 0.000
Bi2 Bi 0.333 0.667 0.293
Bi3 Bi 0.333 0.667 0.707
Bi4 Bi 0.667 0.333 0.293
Bi5 Bi 0.667 0.333 0.707
```

magnetic moment = 0.0 μB per formula unit
energy = -5.51 eV per atom

# 2
First-principles (PBE) data for a relaxed Y2IrPt2 crystal, as listed in OQMD via LeMat-Bulk.

```
data_Y2IrPt2
_space_group_name_H-M_alt 'P 1'
_space_group_IT_number 1
_cell_length_a 7.222
_cell_length_b 7.222
_cell_length_c 7.222
_cell_angle_alpha 149.02
_cell_angle_beta 149.02
_cell_angle_gamma 44.38
loop_
_space_group_symop_operation_xyz
'x,y,z'
loop_
_atom_site_label
_atom_site_type_symbol
_atom_site_fract_x
_atom_site_fract_y
_atom_site_fract_z
Y1 Y 0.103 0.103 0.000
Y2 Y 0.897 0.897 0.000
Ir1 Ir 0.500 0.500 0.000
Pt1 Pt 0.250 0.750 0.500
Pt2 Pt 0.750 0.250 0.500
```

formation energy from the elements = -429 meV per atom
magnetic moment = 0.0 μB per formula unit
energy = -7.21 eV per atom

# 3
First-principles (PBE) data for a relaxed NbCuReSi crystal, as listed in OQMD via LeMat-Bulk.

```
data_NbCuReSi
_space_group_name_H-M_alt 'P 1'
_space_group_IT_number 1
_cell_length_a 4.343
_cell_length_b 4.343
_cell_length_c 4.343
_cell_angle_alpha 60.00
_cell_angle_beta 60.00
_cell_angle_gamma 60.00
loop_
_space_group_symop_operation_xyz
'x,y,z'
loop_
_atom_site_label
_atom_site_type_symbol
_atom_site_fract_x
_atom_site_fract_y
_atom_site_fract_z
Nb1 Nb 0.000 0.000 0.000
Cu1 Cu 0.750 0.750 0.750
Re1 Re 0.250 0.250 0.250
Si1 Si 0.500 0.500 0.500
```

distance to the lowest polymorph of the same formula = 0.0 kJ per mole of atoms
magnetic moment = 0.0 μB per formula unit
energy = -7.91 eV per atom

# 4
First-principles (PBE) data for a relaxed DyCuSi2Os crystal, as listed in OQMD via LeMat-Bulk.

```
data_DyCuSi2Os
_space_group_name_H-M_alt 'P 1'
_space_group_IT_number 1
_cell_length_a 5.784
_cell_length_b 5.784
_cell_length_c 5.784
_cell_angle_alpha 139.46
_cell_angle_beta 139.46
_cell_angle_gamma 58.67
loop_
_space_group_symop_operation_xyz
'x,y,z'
loop_
_atom_site_label
_atom_site_type_symbol
_atom_site_fract_x
_atom_site_fract_y
_atom_site_fract_z
Dy1 Dy 0.000 0.000 0.000
Cu1 Cu 0.250 0.750 0.500
Si1 Si 0.381 0.381 0.000
Si2 Si 0.619 0.619 0.000
Os1 Os 0.750 0.250 0.500
```

magnetic moment = 0.0 μB per formula unit
energy = -6.65 eV per atom

Copy entry 3 word for word.
First-principles (PBE) data for a relaxed NbCuReSi crystal, as listed in OQMD via LeMat-Bulk.

```
data_NbCuReSi
_space_group_name_H-M_alt 'P 1'
_space_group_IT_number 1
_cell_length_a 4.343
_cell_length_b 4.343
_cell_length_c 4.343
_cell_angle_alpha 60.00
_cell_angle_beta 60.00
_cell_angle_gamma 60.00
loop_
_space_group_symop_operation_xyz
'x,y,z'
loop_
_atom_site_label
_atom_site_type_symbol
_atom_site_fract_x
_atom_site_fract_y
_atom_site_fract_z
Nb1 Nb 0.000 0.000 0.000
Cu1 Cu 0.750 0.750 0.750
Re1 Re 0.250 0.250 0.250
Si1 Si 0.500 0.500 0.500
```

distance to the lowest polymorph of the same formula = 0.0 kJ per mole of atoms
magnetic moment = 0.0 μB per formula unit
energy = -7.91 eV per atom

Question: Which value of magnetic moment does entry 2 give?
Answer: 0.0 μB per formula unit